Record 1
A plane-wave DFT calculation with PBE-GGA was carried out for a geometry-optimized Ga2BiMoP structure.

Values from the calculation:
* space-group type: P4/mmm, No. 123
* total magnetization: 3.26 μB/f.u.
* calculated volume: 32.02 Å³/atom

Cell lengths 5.399, 5.399, 5.493 Å; angles 90.00, 90.00, 90.00 degrees
Fractional positions:
1 Ga 0.000 0.500 0.000
2 Ga 0.500 0.000 0.000
3 Bi 0.000 0.000 0.000
4 Mo 0.000 0.000 0.500
5 P 0.500 0.500 0.500

---

Record 2
A plane-wave DFT calculation with PBE-GGA was carried out for a geometry-optimized GaBi2MoPd structure.

Values from the calculation:
* space-group type: P4/mmm, No. 123
* total magnetization: 2.66 μB/f.u.
* calculated volume: 27.43 Å³/atom

Cell lengths 5.343, 5.343, 4.804 Å; angles 90.00, 90.00, 90.00 degrees
Fractional positions:
1 Ga 0.000 0.000 0.000
2 Bi 0.000 0.500 0.000
3 Bi 0.500 0.000 0.000
4 Mo 0.000 0.000 0.500
5 Pd 0.500 0.500 0.500

---

VASP energy readings, ordered: -3.658; -4.273 eV per atom